Below is a relaxed ZrSbBr2 crystal, with properties calculated at the GGA-PBE level.

a = 5.081 Å, b = 5.081 Å, c = 5.081 Å
α = 60.00°, β = 60.00°, γ = 60.00°
Fractional coordinates of all 4 atoms:
Zr 0.000 0.000 0.000
Sb 0.500 0.500 0.500
Br 0.250 0.250 0.250
Br 0.750 0.750 0.750

M_tot: 0.000 μB/atom
total energy: -4.03 eV per atom
D(E_F): 0.7437 states/eV per atom
calculated volume: 93 Å³/f.u.

Below is a relaxed Zr2SbBr2 crystal, with properties calculated at the GGA-PBE level.

a = 6.107 Å, b = 6.107 Å, c = 6.107 Å
α = 131.92°, β = 131.92°, γ = 70.36°
Fractional coordinates of all 5 atoms:
Zr 0.250 0.750 0.500
Zr 0.750 0.250 0.500
Sb 0.000 0.000 0.000
Br 0.355 0.355 0.000
Br 0.645 0.645 0.000

M_tot: 0.000 μB/atom
total energy: -5.22 eV per atom
D(E_F): 1.0870 states/eV per atom
calculated volume: 124 Å³/f.u.

Below is a relaxed Sc5Br crystal, with properties calculated at the GGA-PBE level.

a = 5.988 Å, b = 5.988 Å, c = 5.580 Å
α = 90.00°, β = 90.00°, γ = 120.00°
Fractional coordinates of all 6 atoms:
Sc 0.000 0.500 0.000
Sc 0.333 0.667 0.500
Sc 0.500 0.000 0.000
Sc 0.500 0.500 0.000
Sc 0.667 0.333 0.500
Br 0.000 0.000 0.500

M_tot: 0.540 μB/atom
total energy: -5.04 eV per atom
D(E_F): 1.9878 states/eV per atom
calculated volume: 173 Å³/f.u.